Pm3Dy2Se8: optimized geometry, PBE-GGA.

Cell lengths 7.116, 8.370, 8.364 Å; angles 120.03, 107.21, 90.00 degrees
Sites, in units of the cell vectors:
Pm1 0.500 0.000 0.000
Pm2 0.000 0.263 0.000
Pm3 0.000 0.737 0.000
Dy1 0.341 0.258 0.516
Dy2 0.659 0.742 0.484
Se1 0.895 0.619 0.239
Se2 0.105 0.381 0.761
Se3 0.931 0.122 0.243
Se4 0.069 0.878 0.757
Se5 0.583 0.635 0.746
Se6 0.583 0.111 0.746
Se7 0.417 0.889 0.254
Se8 0.417 0.365 0.254

Results
The symmetry is No. 12. The calculation puts the uncorrected formation energy at -162 kJ per mole of atoms. As for the total energy: -0.41374 Ry per atom. The value obtained for the volume is 31.2 A^3/atom.